Record 1
Here is an optimized crystal structure of YP2Pt4 from Alexandria. Energies are from GGA-PBE.

Output
Formation energy from the elements = -784.7 meV per atom
Volume = 116 Å³/f.u.

Structure (CIF):
```
data_YP2Pt4
_cell_length_a 7.9605
_cell_length_b 7.9605
_cell_length_c 3.6613
_cell_angle_alpha 90.00
_cell_angle_beta 90.00
_cell_angle_gamma 90.00
_symmetry_space_group_name_H-M 'P 42/m n m'
_symmetry_Int_Tables_number 136
_symmetry_space_group_name_Hall '-P 4n 2n'
loop_
_atom_site_label
_atom_site_type_symbol
_atom_site_fract_x
_atom_site_fract_y
_atom_site_fract_z
Y1 Y 0.0000 0.0000 0.0000
P1 P 0.2294 0.2294 0.5000
Pt1 Pt 0.0572 0.6963 0.5000
```

Record 2
Here is an optimized crystal structure of YP4Pt from Alexandria. Energies are from GGA-PBE.

Output
Formation energy from the elements = -382.5 meV per atom
Volume = 111 Å³/f.u.

Structure (CIF):
```
data_YP4Pt
_cell_length_a 3.5564
_cell_length_b 20.4920
_cell_length_c 6.0971
_cell_angle_alpha 90.00
_cell_angle_beta 90.00
_cell_angle_gamma 90.00
_symmetry_space_group_name_H-M 'C m c m'
_symmetry_Int_Tables_number 63
_symmetry_space_group_name_Hall '-C 2c 2'
loop_
_atom_site_label
_atom_site_type_symbol
_atom_site_fract_x
_atom_site_fract_y
_atom_site_fract_z
Y1 Y 0.0000 0.0953 0.2500
P1 P 0.0000 0.0388 0.7500
P2 P 0.0000 0.3099 0.5052
P3 P 0.0000 0.5000 0.0000
Pt1 Pt 0.0000 0.2153 0.7500
```

Record 3
Here is an optimized crystal structure of YPPt3 from Alexandria. Energies are from GGA-PBE.

Output
Formation energy from the elements = -671.1 meV per atom
Volume = 97 Å³/f.u.

Structure (CIF):
```
data_YPPt3
_cell_length_a 4.5951
_cell_length_b 4.5951
_cell_length_c 4.5951
_cell_angle_alpha 90.00
_cell_angle_beta 90.00
_cell_angle_gamma 90.00
_symmetry_space_group_name_H-M 'P m -3 m'
_symmetry_Int_Tables_number 221
_symmetry_space_group_name_Hall '-P 4 2 3'
loop_
_atom_site_label
_atom_site_type_symbol
_atom_site_fract_x
_atom_site_fract_y
_atom_site_fract_z
Y1 Y 0.0000 0.0000 0.0000
P1 P 0.5000 0.5000 0.5000
Pt1 Pt 0.0000 0.5000 0.5000
```

Record 4
Here is an optimized crystal structure of YP2Pt8 from Alexandria. Energies are from GGA-PBE.

Output
Formation energy from the elements = -294.9 meV per atom
Volume = 218 Å³/f.u.

Structure (CIF):
```
data_YP2Pt8
_cell_length_a 5.4576
_cell_length_b 5.4576
_cell_length_c 14.6702
_cell_angle_alpha 90.00
_cell_angle_beta 90.00
_cell_angle_gamma 90.00
_symmetry_space_group_name_H-M 'I 4/m m m'
_symmetry_Int_Tables_number 139
_symmetry_space_group_name_Hall '-I 4 2'
loop_
_atom_site_label
_atom_site_type_symbol
_atom_site_fract_x
_atom_site_fract_y
_atom_site_fract_z
Y1 Y 0.0000 0.0000 0.0000
P1 P 0.0000 0.5000 0.2500
Pt1 Pt 0.2466 0.2466 0.3512
```

Record 5
Here is an optimized crystal structure of Y2P3Pt9 from Alexandria. Energies are from GGA-PBE.

Output
Formation energy from the elements = -723.6 meV per atom
Volume = 232 Å³/f.u.

Structure (CIF):
```
data_Y2P3Pt9
_cell_length_a 13.5922
_cell_length_b 7.9293
_cell_length_c 9.7193
_cell_angle_alpha 90.00
_cell_angle_beta 117.81
_cell_angle_gamma 90.00
_symmetry_space_group_name_H-M 'C 1 2/c 1'
_symmetry_Int_Tables_number 15
_symmetry_space_group_name_Hall '-C 2yc'
loop_
_atom_site_label
_atom_site_type_symbol
_atom_site_fract_x
_atom_site_fract_y
_atom_site_fract_z
Y1 Y 0.1720 0.0819 0.2511
P1 P 0.0946 0.2192 0.4956
P2 P 0.2500 0.2500 0.0000
Pt1 Pt 0.0000 0.3567 0.2500
Pt2 Pt 0.0607 0.0655 0.9199
Pt3 Pt 0.1018 0.3157 0.7281
Pt4 Pt 0.1172 0.3952 0.0638
Pt5 Pt 0.2245 0.4085 0.4144
```

Record 6
Here is an optimized crystal structure of YPPt2 from Alexandria. Energies are from GGA-PBE.

Output
Formation energy from the elements = -894.0 meV per atom
Volume = 74 Å³/f.u.

Structure (CIF):
```
data_YPPt2
_cell_length_a 4.2848
_cell_length_b 4.2848
_cell_length_c 9.2524
_cell_angle_alpha 90.00
_cell_angle_beta 90.00
_cell_angle_gamma 120.00
_symmetry_space_group_name_H-M 'P 63/m m c'
_symmetry_Int_Tables_number 194
_symmetry_space_group_name_Hall '-P 6c 2c'
loop_
_atom_site_label
_atom_site_type_symbol
_atom_site_fract_x
_atom_site_fract_y
_atom_site_fract_z
Y1 Y 0.3333 0.6667 0.2500
P1 P 0.0000 0.0000 0.0000
Pt1 Pt 0.3333 0.6667 0.5782
```